BeTlNi2 | PBE | relaxed

Cell: 4.1963 4.1963 4.1963 Å, 60.00 60.00 60.00°
Last column: nearest neighbours and their distance in Å.
Positions (direct):
Be: 0.0000 0.0000 0.0000  4 Tl 2.57, 4 Ni 2.57
Tl: 0.7500 0.7500 0.7500  4 Be 2.57, 4 Ni 2.57
Ni: 0.2500 0.2500 0.2500  4 Be 2.57, 4 Ni 2.57
Ni: 0.5000 0.5000 0.5000  4 Tl 2.57, 4 Ni 2.57

- Calculated density: 10.5 g/cm3
- VASP energy: -0.2966 Ry/atom
- Symmetry: F-43m

KInNiSe3 | PBE | relaxed

Cell: 7.4162 7.4162 11.1325 Å, 90.00 90.00 148.72°
Last column: nearest neighbours and their distance in Å.
Positions (direct):
K: 0.2479 0.7521 0.7500  6 Se 3.36-3.41, 2 Ni 3.72
K: 0.7521 0.2479 0.2500  6 Se 3.36-3.41, 2 Ni 3.72
In: 0.5000 0.5000 0.0000  6 Se 2.75-2.91
In: 0.5000 0.5000 0.5000  6 Se 2.75-2.91
Ni: 0.0322 0.9678 0.2500  4 Se 2.38-2.42
Ni: 0.9678 0.0322 0.7500  4 Se 2.38-2.42
Se: 0.1220 0.8780 0.0662  1 Ni 2.42
Se: 0.1220 0.8780 0.4338  1 Ni 2.42
Se: 0.4415 0.5585 0.2500  2 Ni 2.38
Se: 0.5585 0.4415 0.7500  2 Ni 2.38
Se: 0.8780 0.1220 0.5662  1 Ni 2.42
Se: 0.8780 0.1220 0.9338  1 Ni 2.42

- Calculated density: 4.7 g/cm3
- VASP energy: -0.2830 Ry/atom
- Symmetry: Cmcm

Tb7CoI12 | PBE | relaxed

Cell: 9.7550 9.7550 9.7550 Å, 106.79 106.79 106.79°
Last column: nearest neighbours and their distance in Å.
Positions (direct):
Tb: 0.0000 0.0000 0.0000  6 I 3.05
Tb: 0.2113 0.4785 0.4079  1 Co 2.62
Tb: 0.4079 0.2113 0.4785  1 Co 2.62
Tb: 0.4785 0.4079 0.2113  1 Co 2.62
Tb: 0.5215 0.5921 0.7887  1 Co 2.62
Tb: 0.5921 0.7887 0.5215  1 Co 2.62
Tb: 0.7887 0.5215 0.5921  1 Co 2.62
Co: 0.5000 0.5000 0.5000  6 Tb 2.62
I: 0.0365 0.1138 0.3394  3 Tb 3.05-3.24
I: 0.1138 0.3394 0.0365  3 Tb 3.05-3.24
I: 0.1773 0.5717 0.7255  3 Tb 3.11-3.47
I: 0.2745 0.8227 0.4283  3 Tb 3.11-3.47
I: 0.3394 0.0365 0.1138  3 Tb 3.05-3.24
I: 0.4283 0.2745 0.8227  3 Tb 3.11-3.47
I: 0.5717 0.7255 0.1773  3 Tb 3.11-3.47
I: 0.6606 0.9635 0.8862  3 Tb 3.05-3.24
I: 0.7255 0.1773 0.5717  3 Tb 3.11-3.47
I: 0.8227 0.4283 0.2745  3 Tb 3.11-3.47
I: 0.8862 0.6606 0.9635  3 Tb 3.05-3.24
I: 0.9635 0.8862 0.6606  3 Tb 3.05-3.24

- Calculated density: 5.8 g/cm3
- VASP energy: -0.3024 Ry/atom
- Symmetry: R-3

Dy2HoNiSn3Pd2 | PBE | relaxed

Cell: 3.8927 7.5287 7.5287 Å, 119.94 90.00 90.00°
Last column: nearest neighbours and their distance in Å.
Positions (direct):
Dy: 0.0000 0.2013 0.7987  4 Pd 3.01, 1 Ni 3.03, 6 Sn 3.26-3.29
Dy: 0.0000 0.7987 0.2013  4 Pd 3.01, 1 Ni 3.03, 6 Sn 3.26-3.29
Ho: 0.0000 0.6033 0.6033  4 Pd 3.00, 1 Ni 3.03, 6 Sn 3.26-3.29
Ni: 0.0000 0.2017 0.2017  6 Sn 2.71, 1 Ho 3.03, 2 Dy 3.03
Sn: 0.5000 0.2015 0.4516  2 Ni 2.71, 2 Pd 2.87-2.88
Sn: 0.5000 0.4516 0.2015  2 Ni 2.71, 2 Pd 2.87-2.88
Sn: 0.5000 0.9510 0.9510  2 Ni 2.71, 2 Pd 2.87
Pd: 0.5000 0.5349 0.8672  3 Sn 2.87-2.88, 2 Ho 3.00, 4 Dy 3.01
Pd: 0.5000 0.8672 0.5349  3 Sn 2.87-2.88, 2 Ho 3.00, 4 Dy 3.01

- Calculated density: 9.7 g/cm3
- VASP energy: -0.4048 Ry/atom
- Symmetry: Amm2

Gd2MgSb2 | PBE | relaxed

Cell: 9.5587 9.5587 6.5530 Å, 90.00 90.00 152.50°
Last column: nearest neighbours and their distance in Å.
Positions (direct):
Gd: 0.0118 0.9882 0.5000  5 Sb 3.17-3.39, 2 Gd 3.31, 4 Mg 3.38-3.39
Gd: 0.1986 0.8014 0.1902  6 Sb 3.13-3.33
Gd: 0.8014 0.1986 0.6902  6 Sb 3.13-3.33
Gd: 0.9882 0.0118 0.0000  5 Sb 3.17-3.39, 2 Gd 3.31, 4 Mg 3.38-3.39
Mg: 0.3989 0.6011 0.2896  3 Sb 2.81-2.91
Mg: 0.6011 0.3989 0.7896  3 Sb 2.81-2.91
Sb: 0.1821 0.8179 0.6848  2 Mg 2.81
Sb: 0.4163 0.5837 0.7316  1 Mg 2.91, 6 Gd 3.13-3.26
Sb: 0.5837 0.4163 0.2316  1 Mg 2.91, 6 Gd 3.13-3.26
Sb: 0.8179 0.1821 0.1848  2 Mg 2.81

- Calculated density: 7.0 g/cm3
- VASP energy: -0.3371 Ry/atom
- Symmetry: Cmc2_1

Sm2Ga8Co | PBE | relaxed

Cell: 4.2718 4.2718 11.2606 Å, 90.00 90.00 90.00°
Last column: nearest neighbours and their distance in Å.
Positions (direct):
Sm: 0.0000 0.0000 0.1957  12 Ga 3.02-3.07
Sm: 0.0000 0.0000 0.8043  12 Ga 3.02-3.07
Ga: 0.0000 0.5000 0.0000  8 Ga 3.02-3.12, 4 Sm 3.07
Ga: 0.0000 0.5000 0.3863  2 Co 2.49, 1 Ga 2.56
Ga: 0.0000 0.5000 0.6137  2 Co 2.49, 1 Ga 2.56
Ga: 0.5000 0.0000 0.0000  8 Ga 3.02-3.12, 4 Sm 3.07
Ga: 0.5000 0.0000 0.3863  2 Co 2.49, 1 Ga 2.56
Ga: 0.5000 0.0000 0.6137  2 Co 2.49, 1 Ga 2.56
Ga: 0.5000 0.5000 0.2017  8 Ga 2.98-3.12, 4 Sm 3.02
Ga: 0.5000 0.5000 0.7983  8 Ga 2.98-3.12, 4 Sm 3.02
Co: 0.0000 0.0000 0.5000  8 Ga 2.49

- Calculated density: 7.4 g/cm3
- VASP energy: -0.3081 Ry/atom
- Symmetry: P4/mmm

PrNiSn2Ge | PBE | relaxed

Cell: 11.9745 11.9745 4.2649 Å, 90.00 90.00 158.19°
Last column: nearest neighbours and their distance in Å.
Positions (direct):
Pr: 0.1662 0.8338 0.0000  8 Sn 3.30-3.55, 4 Ni 3.41, 2 Ge 3.42
Pr: 0.8338 0.1662 0.0000  8 Sn 3.30-3.55, 4 Ni 3.41, 2 Ge 3.42
Ni: 0.3937 0.6063 0.5000  2 Ge 2.42, 3 Sn 2.51-2.53
Ni: 0.6063 0.3937 0.5000  2 Ge 2.42, 3 Sn 2.51-2.53
Sn: 0.0586 0.9414 0.5000  2 Ni 2.53, 1 Sn 2.75
Sn: 0.2870 0.7130 0.5000  1 Ni 2.51
Sn: 0.7130 0.2870 0.5000  1 Ni 2.51
Sn: 0.9414 0.0586 0.5000  2 Ni 2.53, 1 Sn 2.75
Ge: 0.4428 0.5572 0.0000  2 Ni 2.42, 1 Ge 2.69
Ge: 0.5572 0.4428 0.0000  2 Ni 2.42, 1 Ge 2.69

- Calculated density: 7.5 g/cm3
- VASP energy: -0.3746 Ry/atom
- Energy relative to the lowest polymorph listed for this composition: 64 meV/atom
- Symmetry: Cmmm

Be2SiAu | PBE | relaxed

Cell: 4.2016 4.2016 4.2016 Å, 60.00 60.00 60.00°
Last column: nearest neighbours and their distance in Å.
Positions (direct):
Be: 0.0000 0.0000 0.0000  4 Be 2.57, 4 Au 2.57
Be: 0.2500 0.2500 0.2500  4 Be 2.57, 4 Si 2.57
Si: 0.5000 0.5000 0.5000  4 Be 2.57, 4 Au 2.57
Au: 0.7500 0.7500 0.7500  4 Be 2.57, 4 Si 2.57

- Calculated density: 7.7 g/cm3
- VASP energy: -0.2606 Ry/atom
- Symmetry: F-43m

- Among the records above, which one has the highest VASP energy?
  Be2SiAu